Model a:
First-principles (PBE) data for a relaxed structure of ZrTaNO, as listed in the Open Quantum Materials Database.

Calculated values
The volume is 110.30 Å³ per cell.

Unit cell a=3.195 b=5.963 c=5.790 alpha=90.00 beta=90.00 gamma=90.00
Space group Pmc2_1 (No. 26)
Unique sites:
Zr 0.000 0.117 0.000 [2 per cell]
Ta 0.500 0.329 0.411 [2 per cell]
N 0.500 0.366 0.073 [2 per cell]
O 0.000 0.226 0.638 [2 per cell]

=====

Model b:
First-principles (PBE) data for a relaxed structure of ZrTaNO, as listed in the Open Quantum Materials Database.

Calculated values
The volume is 92.71 Å³ per cell.

Unit cell a=4.571 b=4.571 c=4.437 alpha=90.00 beta=90.00 gamma=90.00
Space group P4/nmm (No. 129, origin choice 2)
Unique sites:
Zr 0.250 0.750 0.000 [2 per cell]
Ta 0.250 0.250 0.498 [2 per cell]
N 0.250 0.250 0.996 [2 per cell]
O 0.250 0.750 0.500 [2 per cell]

=====

Energy relative to the most stable one, in kJ/mol of atoms: model a 0.0; model b 14.1

=====

Model a:
First-principles (PBE) data for a relaxed structure of ZrTaNO, as listed in the Open Quantum Materials Database.

Calculated values
The volume is 218.12 Å³ per cell.

Unit cell a=6.080 b=7.418 c=4.837 alpha=90.00 beta=90.00 gamma=90.00
Space group Pca2_1 (No. 29)
Unique sites:
Zr 0.065 0.130 0.000 [4 per cell]
Ta 0.137 0.662 0.017 [4 per cell]
N 0.081 0.138 0.511 [4 per cell]
O 0.000 0.417 0.129 [4 per cell]

=====

Model b:
First-principles (PBE) data for a relaxed structure of ZrTaNO, as listed in the Open Quantum Materials Database.

Calculated values
The volume is 101.89 Å³ per cell.

Unit cell a=3.651 b=3.651 c=7.644 alpha=90.00 beta=90.00 gamma=90.00
Space group P4/nmm (No. 129, origin choice 2)
Unique sites:
Zr 0.250 0.250 0.154 [2 per cell]
Ta 0.250 0.750 0.500 [2 per cell]
N 0.250 0.250 0.690 [2 per cell]
O 0.250 0.750 0.000 [2 per cell]

=====

Model c:
First-principles (PBE) data for a relaxed structure of ZrTaNO, as listed in the Open Quantum Materials Database.

Calculated values
The volume is 108.92 Å³ per cell.

Unit cell a=3.205 b=5.929 c=5.732 alpha=90.00 beta=90.00 gamma=90.00
Space group Pmc2_1 (No. 26)
Unique sites:
Zr 0.000 0.165 0.000 [2 per cell]
Ta 0.500 0.399 0.403 [2 per cell]
N 0.000 0.179 0.364 [2 per cell]
O 0.500 0.277 0.757 [2 per cell]

=====

Model d:
First-principles (PBE) data for a relaxed structure of ZrTaNO, as listed in the Open Quantum Materials Database.

Calculated values
The volume is 211.29 Å³ per cell.

Unit cell a=7.766 b=6.178 c=4.404 alpha=90.00 beta=90.00 gamma=90.00
Space group Pbcm (No. 57)
Unique sites:
Zr 0.149 0.089 0.250 [4 per cell]
Ta 0.391 0.561 0.250 [4 per cell]
N 0.375 0.602 0.750 [4 per cell]
O 0.121 0.045 0.750 [4 per cell]

=====

Energy relative to the most stable one, in kJ/mol of atoms: model a 7.9; model b 30.4; model c 0.0; model d 3.4

=====

Model a:
First-principles (PBE) data for a relaxed structure of TbTcNO, as listed in the Open Quantum Materials Database.

Calculated values
The volume is 102.21 Å³ per cell.

Unit cell a=3.814 b=5.332 c=5.025 alpha=90.00 beta=90.00 gamma=90.00
Space group Pmc2_1 (No. 26)
Unique sites:
Tb 0.000 0.213 0.000 [2 per cell]
Tc 0.500 0.328 0.496 [2 per cell]
N 0.000 0.329 0.494 [2 per cell]
O 0.500 0.029 0.789 [2 per cell]

=====

Model b:
First-principles (PBE) data for a relaxed structure of TbTcNO, as listed in the Open Quantum Materials Database.

Calculated values
The volume is 101.93 Å³ per cell.

Unit cell a=4.811 b=4.811 c=4.404 alpha=90.00 beta=90.00 gamma=90.00
Space group P4/nmm (No. 129, origin choice 2)
Unique sites:
Tb 0.250 0.750 0.000 [2 per cell]
Tc 0.250 0.250 0.499 [2 per cell]
N 0.250 0.250 0.999 [2 per cell]
O 0.250 0.750 0.500 [2 per cell]

=====

Model c:
First-principles (PBE) data for a relaxed structure of TbTcNO, as listed in the Open Quantum Materials Database.

Calculated values
The volume is 108.37 Å³ per cell.

Unit cell a=3.292 b=5.731 c=5.744 alpha=90.00 beta=90.00 gamma=90.00
Space group Pmc2_1 (No. 26)
Unique sites:
Tb 0.000 0.229 0.000 [2 per cell]
Tc 0.500 0.224 0.523 [2 per cell]
N 0.500 0.026 0.264 [2 per cell]
O 0.000 0.432 0.677 [2 per cell]

=====

Model d:
First-principles (PBE) data for a relaxed structure of TbTcNO, as listed in the Open Quantum Materials Database.

Calculated values
The volume is 225.84 Å³ per cell.

Unit cell a=5.528 b=7.836 c=5.214 alpha=90.00 beta=90.00 gamma=90.00
Space group Pca2_1 (No. 29)
Unique sites:
Tb 0.016 0.145 0.000 [4 per cell]
Tc 0.124 0.484 0.694 [4 per cell]
N 0.096 0.354 0.367 [4 per cell]
O 0.249 0.985 0.246 [4 per cell]

=====

Energy relative to the most stable one, in kJ/mol of atoms: model a 35.9; model b 67.8; model c 51.0; model d 0.0

=====

Model a:
First-principles (PBE) data for a relaxed structure of TbTcNO, as listed in the Open Quantum Materials Database.

Calculated values
The volume is 110.01 Å³ per cell.

Unit cell a=3.763 b=3.763 c=7.768 alpha=90.00 beta=90.00 gamma=90.00
Space group P4/nmm (No. 129, origin choice 2)
Unique sites:
Tb 0.250 0.250 0.150 [2 per cell]
Tc 0.250 0.750 0.500 [2 per cell]
N 0.250 0.250 0.627 [2 per cell]
O 0.250 0.750 0.000 [2 per cell]

=====

Model b:
First-principles (PBE) data for a relaxed structure of TbTcNO, as listed in the Open Quantum Materials Database.

Calculated values
The volume is 224.65 Å³ per cell.

Unit cell a=6.081 b=7.493 c=4.930 alpha=90.00 beta=90.00 gamma=90.00
Space group Pca2_1 (No. 29)
Unique sites:
Tb 0.057 0.156 0.000 [4 per cell]
Tc 0.135 0.664 0.986 [4 per cell]
N 0.059 0.138 0.496 [4 per cell]
O 0.057 0.551 0.615 [4 per cell]

=====

Energy relative to the most stable one, in kJ/mol of atoms: model a 0.0; model b 37.2

=====

Model a:
First-principles (PBE) data for a relaxed structure of TbTlNO, as listed in the Open Quantum Materials Database.

Calculated values
The volume is 280.57 Å³ per cell.

Unit cell a=5.662 b=8.757 c=5.658 alpha=90.00 beta=90.00 gamma=90.00
Space group Pca2_1 (No. 29)
Unique sites:
Tb 0.000 0.118 0.000 [4 per cell]
Tl 0.027 0.378 0.508 [4 per cell]
N 0.032 0.368 0.076 [4 per cell]
O 0.249 0.999 0.747 [4 per cell]

=====

Model b:
First-principles (PBE) data for a relaxed structure of TbTlNO, as listed in the Open Quantum Materials Database.

Calculated values
The volume is 124.45 Å³ per cell.

Unit cell a=5.122 b=5.122 c=4.744 alpha=90.00 beta=90.00 gamma=90.00
Space group P4/nmm (No. 129, origin choice 2)
Unique sites:
Tb 0.250 0.750 0.000 [2 per cell]
Tl 0.250 0.250 0.499 [2 per cell]
N 0.250 0.250 0.999 [2 per cell]
O 0.250 0.750 0.500 [2 per cell]

=====

Energy relative to the most stable one, in kJ/mol of atoms: model a 0.0; model b 13.0

=====

Model a:
First-principles (PBE) data for a relaxed structure of TbTlNO, as listed in the Open Quantum Materials Database.

Calculated values
The volume is 154.10 Å³ per cell.

Unit cell a=3.894 b=6.577 c=6.018 alpha=90.00 beta=90.00 gamma=90.00
Space group Pmc2_1 (No. 26)
Unique sites:
Tb 0.000 0.175 0.000 [2 per cell]
Tl 0.500 0.318 0.488 [2 per cell]
N 0.000 0.147 0.375 [2 per cell]
O 0.500 0.307 0.908 [2 per cell]

=====

Model b:
First-principles (PBE) data for a relaxed structure of TbTlNO, as listed in the Open Quantum Materials Database.

Calculated values
The volume is 133.38 Å³ per cell.

Unit cell a=4.131 b=4.131 c=7.815 alpha=90.00 beta=90.00 gamma=90.00
Space group P4/nmm (No. 129, origin choice 2)
Unique sites:
Tb 0.250 0.250 0.123 [2 per cell]
Tl 0.250 0.750 0.500 [2 per cell]
N 0.250 0.250 0.678 [2 per cell]
O 0.250 0.750 0.000 [2 per cell]

=====

Energy relative to the most stable one, in kJ/mol of atoms: model a 0.0; model b 19.9

=====

Model a:
First-principles (PBE) data for a relaxed structure of TbZrNO, as listed in the Open Quantum Materials Database.

Calculated values
The volume is 244.36 Å³ per cell.

Unit cell a=7.893 b=6.585 c=4.701 alpha=90.00 beta=90.00 gamma=90.00
Space group Pbcm (No. 57)
Unique sites:
Tb 0.125 0.056 0.250 [4 per cell]
Zr 0.376 0.593 0.250 [4 per cell]
N 0.393 0.577 0.750 [4 per cell]
O 0.147 0.097 0.750 [4 per cell]

=====

Model b:
First-principles (PBE) data for a relaxed structure of TbZrNO, as listed in the Open Quantum Materials Database.

Calculated values
The volume is 142.45 Å³ per cell.

Unit cell a=4.192 b=4.192 c=8.107 alpha=90.00 beta=90.00 gamma=90.00
Space group P4/nmm (No. 129, origin choice 2)
Unique sites:
Tb 0.250 0.250 0.115 [2 per cell]
Zr 0.250 0.750 0.500 [2 per cell]
N 0.250 0.250 0.570 [2 per cell]
O 0.250 0.750 0.000 [2 per cell]

=====

Model c:
First-principles (PBE) data for a relaxed structure of TbZrNO, as listed in the Open Quantum Materials Database.

Calculated values
The volume is 53.11 Å³ per cell.

Unit cell a=3.381 b=3.381 c=4.647 alpha=90.00 beta=90.00 gamma=90.00
Space group P4/mmm (No. 123)
Unique sites:
Tb 0.000 0.000 0.000 [1 per cell]
Zr 0.500 0.500 0.500 [1 per cell]
N 0.500 0.500 0.000 [1 per cell]
O 0.000 0.000 0.500 [1 per cell]

=====

Model d:
First-principles (PBE) data for a relaxed structure of TbZrNO, as listed in the Open Quantum Materials Database.

Calculated values
The volume is 120.93 Å³ per cell.

Unit cell a=4.434 b=4.434 c=6.150 alpha=90.00 beta=90.00 gamma=90.00
Space group P4/nmm (No. 129, origin choice 2)
Unique sites:
Tb 0.250 0.750 0.000 [2 per cell]
Zr 0.250 0.250 0.454 [2 per cell]
N 0.250 0.250 0.125 [2 per cell]
O 0.250 0.750 0.500 [2 per cell]

=====

Energy relative to the most stable one, in kJ/mol of atoms: model a 0.0; model b 16.7; model c 5.3; model d 27.3